Material: Sm2Fe2O5
Method: DFT, GGA+U
State: relaxed

a b c (Å): 3.7272 4.3105 9.0313
angles (deg): 76.33 89.79 90.00
Element x y z (fractional)
Sm (0.0000, 0.0000, 0.0000)
Sm (0.0032, 0.2134, 0.5606)
Fe (0.5018, 0.5966, 0.8002)
Fe (0.5031, 0.8107, 0.3634)
O (0.0002, 0.7470, 0.4924)
O (0.0011, 0.5546, 0.8906)
O (0.4986, 0.9265, 0.1364)
O (0.5019, 0.1094, 0.7793)
O (0.5041, 0.2835, 0.4189)

Values from the calculation:
E above lowest polymorph   50 meV/atom
M_tot   8.00 μB/f.u.
Density   5.8 g/cm³
Crystal system   triclinic
Uncorrected energy   -66.7 eV for the cell shown
Space group   P1, No. 1